Below is Al2TlSi after structural relaxation, with properties calculated at the PBEsol level.

abc: 3.6504 4.5816 4.5816
angles: 90.00 90.00 90.00
Closest atoms and distances in Å follow each position.
Fractional positions:
1 Tl 0.5000 0.0000 0.0000  8 Al 2.93, 4 Si 3.24
2 Si 0.5000 0.5000 0.5000  8 Al 2.93, 4 Tl 3.24
3 Al 0.0000 0.0000 0.5000  4 Tl 2.93, 4 Si 2.93, 4 Al 3.24
4 Al 0.0000 0.5000 0.0000  4 Tl 2.93, 4 Si 2.93, 4 Al 3.24

For the total energy, the calculation gives -15.070 eV per cell. The calculation puts the formation energy from raw total energies at 36 kJ per mole of atoms.

=====

Below is Al2TlSi after structural relaxation, with properties calculated at the PBEsol level.

abc: 3.0723 3.0723 9.6205
angles: 80.81 80.81 60.00
Closest atoms and distances in Å follow each position.
Fractional positions:
1 Tl 0.5000 0.5000 0.5000  6 Tl 3.07, 6 Al 3.24
2 Si 0.0000 0.0000 0.0000  6 Al 2.69
3 Al 0.2621 0.2621 0.2138  3 Si 2.69
4 Al 0.7379 0.7379 0.7862  3 Si 2.69

For the total energy, the calculation gives -15.468 eV per cell. The calculation puts the formation energy from raw total energies at 26 kJ per mole of atoms.

=====

Below is AlTlSi2 after structural relaxation, with properties calculated at the PBEsol level.

abc: 3.2980 3.2980 7.0457
angles: 90.00 90.00 90.00
Closest atoms and distances in Å follow each position.
Fractional positions:
1 Tl 0.0000 0.0000 0.5005  4 Al 3.18, 5 Si 3.30-3.37, 4 Tl 3.30
2 Si 0.0000 0.0000 0.0223  4 Si 2.55, 4 Al 2.78
3 Si 0.5000 0.5000 0.1697  1 Al 2.55, 4 Si 2.55
4 Al 0.5000 0.5000 0.8075  5 Si 2.55-2.78

For the total energy, the calculation gives -17.097 eV per cell. The calculation puts the formation energy from raw total energies at 27 kJ per mole of atoms.

=====

Below is AlTlSi after structural relaxation, with properties calculated at the PBEsol level.

abc: 4.5834 4.5834 4.5834
angles: 60.00 60.00 60.00
Closest atoms and distances in Å follow each position.
Fractional positions:
1 Tl 0.0000 0.0000 0.0000  4 Si 2.81
2 Si 0.2500 0.2500 0.2500  4 Tl 2.81, 4 Al 2.81
3 Al 0.5000 0.5000 0.5000  4 Si 2.81

For the total energy, the calculation gives -11.319 eV per cell. The calculation puts the formation energy from raw total energies at 37 kJ per mole of atoms.

=====

Below is Al2TlSi after structural relaxation, with properties calculated at the PBEsol level.

abc: 3.1767 3.1767 7.7837
angles: 90.00 90.00 90.00
Closest atoms and distances in Å follow each position.
Fractional positions:
1 Tl 0.5000 0.5000 0.7444  4 Tl 3.18, 4 Si 3.25, 4 Al 3.26
2 Si 0.0000 0.0000 0.4434  4 Al 2.65
3 Al 0.0000 0.0000 0.0489  4 Al 2.80, 1 Si 3.07
4 Al 0.5000 0.5000 0.2633  4 Si 2.65, 4 Al 2.80

For the total energy, the calculation gives -15.523 eV per cell. The calculation puts the formation energy from raw total energies at 25 kJ per mole of atoms.

=====

Below is Al2TlSi2 after structural relaxation, with properties calculated at the PBEsol level.

abc: 4.4608 4.4608 5.8346
angles: 112.47 112.47 90.00
Closest atoms and distances in Å follow each position.
Fractional positions:
1 Tl 0.0000 0.0000 0.0000  8 Al 3.32, 8 Si 3.37
2 Si 0.3794 0.3794 0.7589  1 Si 2.37, 4 Al 2.57
3 Si 0.6206 0.6206 0.2411  1 Si 2.37, 4 Al 2.57
4 Al 0.2500 0.7500 0.5000  4 Si 2.57
5 Al 0.7500 0.2500 0.5000  4 Si 2.57

For the total energy, the calculation gives -21.815 eV per cell. The calculation puts the formation energy from raw total energies at 9 kJ per mole of atoms.